Version one
Below is a geometry-optimized Sm2EuIr structure, with properties calculated at the PBE-GGA level.

Summary:
volume = 30.471 Å³ per atom

Cell lengths 3.5835, 3.5835, 9.4913 Å; angles 90.00, 90.00, 90.00 degrees
Last column: nearest neighbours and their distance in Å.
Space group P4/mmm (No. 123)
Asymmetric unit:
Sm  0.0000  0.0000  0.1716  4 Ir 3.01, 1 Sm 3.26
Eu  0.5000  0.5000  0.5000  4 Eu 3.58
Ir  0.5000  0.5000  0.0000  8 Sm 3.01

***

Version two
Below is a geometry-optimized Sm2EuIr structure, with properties calculated at the PBE-GGA level.

Summary:
volume = 38.295 Å³ per atom

Cell lengths 4.0583, 4.0583, 32.2183 Å; angles 90.00, 90.00, 120.00 degrees
Last column: nearest neighbours and their distance in Å.
Space group R-3m (No. 166, hexagonal axes)
Asymmetric unit:
Sm  0.0000  0.0000  0.1195  3 Ir 2.79
Eu  0.0000  0.0000  0.0000  2 Sm 3.85, 6 Eu 4.06
Ir  0.0000  0.0000  0.5000  6 Sm 2.79

***

On energetic grounds, version one is preferred over the next structure by 8.6 kJ/mol of atoms.

***

Version one
Below is a geometry-optimized EuThIr structure, with properties calculated at the PBE-GGA level.

Summary:
volume = 28.544 Å³ per atom

Cell lengths 3.6512, 3.6512, 12.8466 Å; angles 90.00, 90.00, 90.00 degrees
Last column: nearest neighbours and their distance in Å.
Space group I4mm (No. 107)
Asymmetric unit:
Eu  0.0000  0.0000  0.0000  4 Ir 3.31, 1 Th 3.38, 4 Eu 3.65
Th  0.0000  0.0000  0.2632  4 Ir 2.90
Ir  0.0000  0.0000  0.6611  4 Th 2.90

***

Version two
Below is a geometry-optimized EuThIr structure, with properties calculated at the PBE-GGA level.

Summary:
volume = 28.484 Å³ per atom

Cell lengths 6.9919, 6.9919, 6.9919 Å; angles 90.00, 90.00, 90.00 degrees
Last column: nearest neighbours and their distance in Å.
Space group F-43m (No. 216)
Asymmetric unit:
Eu  0.0000  0.0000  0.0000  4 Ir 3.03
Th  0.0000  0.0000  0.5000  4 Ir 3.03
Ir  0.2500  0.2500  0.2500  4 Th 3.03, 4 Eu 3.03

***

On energetic grounds, version one is preferred over the next structure by 1.1 kJ/mol of atoms.

***

Version one
Below is a geometry-optimized Eu2TlIr structure, with properties calculated at the PBE-GGA level.

Summary:
volume = 26.298 Å³ per atom

Cell lengths 3.5972, 3.5972, 8.1295 Å; angles 90.00, 90.00, 90.00 degrees
Last column: nearest neighbours and their distance in Å.
Space group P4/mmm (No. 123)
Asymmetric unit:
Eu  0.0000  0.0000  0.2061  4 Ir 3.05, 1 Eu 3.35
Tl  0.5000  0.5000  0.5000  8 Eu 3.49, 4 Tl 3.60
Ir  0.5000  0.5000  0.0000  8 Eu 3.05

***

Version two
Below is a geometry-optimized Eu2TlIr structure, with properties calculated at the PBE-GGA level.

Summary:
volume = 25.537 Å³ per atom

Cell lengths 7.4204, 7.4204, 7.4204 Å; angles 90.00, 90.00, 90.00 degrees
Last column: nearest neighbours and their distance in Å.
Space group Fm-3m (No. 225)
Asymmetric unit:
Eu  0.2500  0.2500  0.2500  4 Tl 3.21, 4 Ir 3.21
Tl  0.0000  0.0000  0.0000  8 Eu 3.21
Ir  0.0000  0.0000  0.5000  8 Eu 3.21

***

Version three
Below is a geometry-optimized Eu2TlIr structure, with properties calculated at the PBE-GGA level.

Summary:
volume = 35.109 Å³ per atom

Cell lengths 4.0031, 4.0031, 30.3580 Å; angles 90.00, 90.00, 120.00 degrees
Last column: nearest neighbours and their distance in Å.
Space group R-3m (No. 166, hexagonal axes)
Asymmetric unit:
Eu  0.0000  0.0000  0.1127  3 Ir 2.83
Tl  0.0000  0.0000  0.0000  2 Eu 3.42
Ir  0.0000  0.0000  0.5000  6 Eu 2.83

***

On energetic grounds, version one is preferred over the next structure by 10.6 kJ/mol of atoms.

***

Version one
Below is a geometry-optimized EuTmIr2 structure, with properties calculated at the PBE-GGA level.

Summary:
volume = 20.371 Å³ per atom

Cell lengths 3.3224, 3.3224, 7.3822 Å; angles 90.00, 90.00, 90.00 degrees
Last column: nearest neighbours and their distance in Å.
Space group P4/mmm (No. 123)
Asymmetric unit:
Eu  0.0000  0.0000  0.0000  8 Ir 3.09, 4 Eu 3.32
Tm  0.0000  0.0000  0.5000  8 Ir 2.89
Ir  0.5000  0.5000  0.2727  4 Tm 2.89, 4 Eu 3.09

***

Version two
Below is a geometry-optimized EuTmIr2 structure, with properties calculated at the PBE-GGA level.

Summary:
volume = 20.321 Å³ per atom

Cell lengths 6.8763, 6.8763, 6.8763 Å; angles 90.00, 90.00, 90.00 degrees
Last column: nearest neighbours and their distance in Å.
Space group Fm-3m (No. 225)
Asymmetric unit:
Eu  0.0000  0.0000  0.0000  8 Ir 2.98
Tm  0.0000  0.0000  0.5000  8 Ir 2.98
Ir  0.2500  0.2500  0.2500  4 Tm 2.98, 4 Eu 2.98

***

On energetic grounds, version one is preferred over the next structure by 5.7 kJ/mol of atoms.